The following is a DFT calculation (PBE) of a relaxed KSr2Al crystal.

The structure in extended XYZ format:
```
4
Lattice="9.528 0.101 0.206 -3.698 4.595 0.000 2.126 1.710 3.707" Properties=species:S:1:pos:R:3 pbc="T T T"
Sr 0.000 0.000 0.000
Sr 5.827 0.906 1.957
K 2.915 2.348 0.103
Al -0.786 3.153 1.854
```

## Properties
For the density of states at the Fermi level, the calculation gives 4.939 states/eV/f.u. The total DFT energy (no corrections) comes out at -7.44 eV for the cell shown. The calculation puts the formation enthalpy at 0 K at 190.9 meV per atom.